Hf3TiCo | Alexandria via LeMat-Bulk | PBE | relaxed; energy relative to the elements = -0.06 eV/atom; theoretical density = 11.1 g/cm3; E = -9.03 eV per atom; DOS at the Fermi energy = 4.38 states/eV/f.u.; energy above the lowest structure with this stoichiometry = 0 kJ/mol of formula units
1.0
5.091 -2.214 0.000
5.091 2.214 0.000
-1.246 0.000 8.520
Hf Ti Co
6 2 2
direct
0.083 0.083 0.370 Hf
0.126 0.126 0.918 Hf
0.382 0.382 0.353 Hf
0.618 0.618 0.647 Hf
0.874 0.874 0.082 Hf
0.917 0.917 0.630 Hf
0.422 0.422 0.860 Ti
0.578 0.578 0.140 Ti
0.260 0.260 0.623 Co
0.740 0.740 0.377 Co

***

La2InP | Alexandria via LeMat-Bulk | PBE | relaxed; energy relative to the elements = -0.71 eV/atom; theoretical density = 6.5 g/cm3; E = -5.21 eV per atom; DOS at the Fermi energy = 3.32 states/eV/f.u.; energy above the lowest structure with this stoichiometry = 96 kJ/mol of formula units
1.0
3.403 -4.106 0.000
3.403 4.106 0.000
0.000 0.000 3.869
La In P
2 1 1
direct
0.000 0.500 0.000 La
0.500 0.000 0.000 La
0.000 0.000 0.500 In
0.500 0.500 0.500 P

***

BaSrCo2 | Alexandria via LeMat-Bulk | PBE | relaxed; energy relative to the elements = 0.97 eV/atom; theoretical density = 5.3 g/cm3; E = -3.49 eV per atom; DOS at the Fermi energy = 8.99 states/eV/f.u.; energy above the lowest structure with this stoichiometry = 256 kJ/mol of formula units
1.0
-4.063 4.063 3.241
4.063 -4.063 3.241
4.063 4.063 -3.241
Ba Sr Co
2 2 4
direct
0.000 0.000 0.000 Ba
0.750 0.250 0.500 Ba
0.250 0.750 0.500 Sr
0.500 0.500 0.000 Sr
0.126 0.625 0.001 Co
0.375 0.376 0.501 Co
0.624 0.125 0.999 Co
0.875 0.874 0.499 Co

***

BaPb2O4 | Alexandria via LeMat-Bulk | PBE | relaxed; theoretical density = 7.3 g/cm3; E = -5.54 eV per atom; DOS at the Fermi energy = 4.81 states/eV/f.u.
1.0
-3.662 3.662 5.194
3.662 -3.662 5.194
3.662 3.662 -5.194
Ba Pb O
2 4 8
direct
0.375 0.625 0.750 Ba
0.625 0.375 0.250 Ba
0.000 0.000 0.000 Pb
0.000 0.000 0.500 Pb
0.000 0.500 0.000 Pb
0.500 0.000 0.500 Pb
0.195 0.231 0.963 O
0.231 0.195 0.463 O
0.231 0.768 0.037 O
0.232 0.769 0.463 O
0.768 0.231 0.537 O
0.769 0.232 0.963 O
0.769 0.805 0.537 O
0.805 0.769 0.037 O

***

PrErHg3 | Alexandria via LeMat-Bulk | PBE | relaxed; energy relative to the elements = -0.43 eV/atom; theoretical density = 11.5 g/cm3; E = -2.48 eV per atom; DOS at the Fermi energy = 5.00 states/eV/f.u.; energy above the lowest structure with this stoichiometry = 0 kJ/mol of formula units
1.0
1.801 -14.629 0.000
1.801 14.629 0.000
0.000 0.000 4.973
Pr Er Hg
2 2 6
direct
0.076 0.924 0.750 Pr
0.924 0.076 0.250 Pr
0.211 0.789 0.250 Er
0.789 0.211 0.750 Er
0.315 0.685 0.250 Hg
0.376 0.624 0.750 Hg
0.475 0.525 0.750 Hg
0.525 0.475 0.250 Hg
0.624 0.376 0.250 Hg
0.685 0.315 0.750 Hg

***

FeRe2Ru | Alexandria via LeMat-Bulk | PBE | relaxed; energy relative to the elements = 0.06 eV/atom; theoretical density = 16.0 g/cm3; E = -10.60 eV per atom; DOS at the Fermi energy = 3.63 states/eV/f.u.; energy above the lowest structure with this stoichiometry = 30 kJ/mol of formula units
1.0
-1.900 1.900 3.801
1.900 -1.900 3.801
1.900 1.900 -3.801
Fe Re Ru
1 2 1
direct
0.000 0.000 0.000 Fe
0.250 0.750 0.500 Re
0.750 0.250 0.500 Re
0.500 0.500 0.000 Ru